DFT (GGA-PBE) results for a relaxed structure of V2Ru.

Output
DOS at the Fermi energy, states/eV per atom: 2.128
ΔH_f (0 K), eV per atom: 0.0052

Lattice parameters (Å, degrees): 4.858 4.858 4.858 60.00 60.00 60.00
Sites, in units of the cell vectors:
V  0.000  0.000  0.000
V  0.000  0.000  0.500
V  0.000  0.500  0.000
V  0.500  0.000  0.000
Ru  0.375  0.375  0.375
Ru  0.625  0.625  0.625